VASP calculation (GGA-PBE) on a relaxed structure of Ce12Os6Rh.

Formation enthalpy at 0 K (eV per atom): -0.13
Final energy (eV/cell): -148.35

abc: 8.1377 8.1377 8.1377
angles: 99.09 99.09 99.09
Last column: nearest neighbours and their distance in Å.
Element x y z (fractional)
Ce  0.0554  0.9177  0.6720  2 Os 2.75-2.78, 1 Rh 2.77
Ce  0.0823  0.3280  0.9446  2 Os 2.75-2.78, 1 Rh 2.77
Ce  0.1824  0.5739  0.4148  3 Os 2.70-2.95
Ce  0.3280  0.9446  0.0823  2 Os 2.75-2.78, 1 Rh 2.77
Ce  0.4148  0.1824  0.5739  3 Os 2.70-2.95
Ce  0.4261  0.5852  0.8176  3 Os 2.70-2.95
Ce  0.5739  0.4148  0.1824  3 Os 2.70-2.95
Ce  0.5852  0.8176  0.4261  3 Os 2.70-2.95
Ce  0.6720  0.0554  0.9177  2 Os 2.75-2.78, 1 Rh 2.77
Ce  0.8176  0.4261  0.5852  3 Os 2.70-2.95
Ce  0.9177  0.6720  0.0554  2 Os 2.75-2.78, 1 Rh 2.77
Ce  0.9446  0.0823  0.3280  2 Os 2.75-2.78, 1 Rh 2.77
Os  0.1320  0.3047  0.6156  5 Ce 2.70-2.95
Os  0.3047  0.6156  0.1320  5 Ce 2.70-2.95
Os  0.3844  0.8680  0.6953  5 Ce 2.70-2.95
Os  0.6156  0.1320  0.3047  5 Ce 2.70-2.95
Os  0.6953  0.3844  0.8680  5 Ce 2.70-2.95
Os  0.8680  0.6953  0.3844  5 Ce 2.70-2.95
Rh  0.0000  0.0000  0.0000  6 Ce 2.77

VASP calculation (GGA-PBE) on a relaxed structure of Ce6OsRh2.

Formation enthalpy at 0 K (eV per atom): -0.32
Final energy (eV/cell): -128.87

abc: 8.3411 8.3411 8.3411
angles: 121.20 113.09 95.15
Last column: nearest neighbours and their distance in Å.
Element x y z (fractional)
Ce  0.0375  0.2201  0.8174  2 Rh 2.86-3.17, 1 Os 2.99, 2 Ce 3.05
Ce  0.1798  0.3125  0.4923  3 Rh 2.95-2.96, 1 Os 3.05, 1 Ce 3.07
Ce  0.1798  0.6875  0.8672  3 Rh 2.95-2.96, 1 Os 3.05, 1 Ce 3.07
Ce  0.3422  0.0814  0.7391  3 Rh 2.75-3.03, 1 Os 2.78, 2 Ce 3.05
Ce  0.3422  0.6031  0.2609  3 Rh 2.75-3.03, 1 Os 2.78, 2 Ce 3.05
Ce  0.4027  0.2201  0.1826  2 Rh 2.86-3.17, 1 Os 2.99, 2 Ce 3.05
Ce  0.5973  0.7799  0.8174  2 Rh 2.86-3.17, 1 Os 2.99, 2 Ce 3.05
Ce  0.6578  0.3969  0.7391  3 Rh 2.75-3.03, 1 Os 2.78, 2 Ce 3.05
Ce  0.6578  0.9186  0.2609  3 Rh 2.75-3.03, 1 Os 2.78, 2 Ce 3.05
Ce  0.8202  0.3125  0.1328  3 Rh 2.95-2.96, 1 Os 3.05, 1 Ce 3.07
Ce  0.8202  0.6875  0.5077  3 Rh 2.95-2.96, 1 Os 3.05, 1 Ce 3.07
Ce  0.9625  0.7799  0.1826  2 Rh 2.86-3.17, 1 Os 2.99, 2 Ce 3.05
Os  0.0000  0.0000  0.0000  8 Ce 2.99-3.05, 2 Rh 3.12
Os  0.5000  0.5000  0.0000  4 Ce 2.78
Rh  0.1703  0.6703  0.5000  6 Ce 2.75-2.96
Rh  0.3390  0.0000  0.3390  8 Ce 2.86-3.03, 1 Rh 2.96, 1 Os 3.12
Rh  0.6610  0.0000  0.6610  8 Ce 2.86-3.03, 1 Rh 2.96, 1 Os 3.12
Rh  0.8297  0.3297  0.5000  6 Ce 2.75-2.96

VASP calculation (GGA-PBE) on a relaxed structure of Ce3OsRh2.

Formation enthalpy at 0 K (eV per atom): -0.45
Final energy (eV/cell): -92.91

abc: 6.9372 6.9372 6.9305
angles: 99.57 99.57 119.79
Last column: nearest neighbours and their distance in Å.
Element x y z (fractional)
Ce  0.0786  0.4173  0.7530  2 Os 2.80, 4 Rh 2.85-2.86
Ce  0.2408  0.2408  0.2405  2 Os 2.80, 4 Rh 2.83-2.84
Ce  0.4173  0.0786  0.7530  2 Os 2.80, 4 Rh 2.85-2.86
Ce  0.5827  0.9214  0.2470  2 Os 2.80, 4 Rh 2.85-2.86
Ce  0.7592  0.7592  0.7595  2 Os 2.80, 4 Rh 2.83-2.84
Ce  0.9214  0.5827  0.2470  2 Os 2.80, 4 Rh 2.85-2.86
Os  0.1684  0.8316  0.0000  6 Ce 2.80
Os  0.8316  0.1684  0.0000  6 Ce 2.80
Rh  0.0000  0.0000  0.5000  6 Ce 2.84-2.86
Rh  0.3392  0.6608  0.5000  6 Ce 2.84-2.86
Rh  0.5000  0.5000  0.0000  6 Ce 2.83-2.85
Rh  0.6608  0.3392  0.5000  6 Ce 2.84-2.86

Please write out number 1 again, unchanged.
VASP calculation (GGA-PBE) on a relaxed structure of Ce12Os6Rh.

Formation enthalpy at 0 K (eV per atom): -0.13
Final energy (eV/cell): -148.35

abc: 8.1377 8.1377 8.1377
angles: 99.09 99.09 99.09
Last column: nearest neighbours and their distance in Å.
Element x y z (fractional)
Ce  0.0554  0.9177  0.6720  2 Os 2.75-2.78, 1 Rh 2.77
Ce  0.0823  0.3280  0.9446  2 Os 2.75-2.78, 1 Rh 2.77
Ce  0.1824  0.5739  0.4148  3 Os 2.70-2.95
Ce  0.3280  0.9446  0.0823  2 Os 2.75-2.78, 1 Rh 2.77
Ce  0.4148  0.1824  0.5739  3 Os 2.70-2.95
Ce  0.4261  0.5852  0.8176  3 Os 2.70-2.95
Ce  0.5739  0.4148  0.1824  3 Os 2.70-2.95
Ce  0.5852  0.8176  0.4261  3 Os 2.70-2.95
Ce  0.6720  0.0554  0.9177  2 Os 2.75-2.78, 1 Rh 2.77
Ce  0.8176  0.4261  0.5852  3 Os 2.70-2.95
Ce  0.9177  0.6720  0.0554  2 Os 2.75-2.78, 1 Rh 2.77
Ce  0.9446  0.0823  0.3280  2 Os 2.75-2.78, 1 Rh 2.77
Os  0.1320  0.3047  0.6156  5 Ce 2.70-2.95
Os  0.3047  0.6156  0.1320  5 Ce 2.70-2.95
Os  0.3844  0.8680  0.6953  5 Ce 2.70-2.95
Os  0.6156  0.1320  0.3047  5 Ce 2.70-2.95
Os  0.6953  0.3844  0.8680  5 Ce 2.70-2.95
Os  0.8680  0.6953  0.3844  5 Ce 2.70-2.95
Rh  0.0000  0.0000  0.0000  6 Ce 2.77